Material: BaEr6Te8
Method: DFT, PBE
State: optimized geometry

a b c (Å): 8.2033 8.2033 8.2033
angles (deg): 89.84 89.84 89.84
With the nearest neighbours (Å) after each atom.
Atoms (fractional coordinates):
1 Er 0.4132 0.5688 0.1990  5 Te 3.00-3.14
2 Er 0.5868 0.4312 0.8010  5 Te 3.00-3.14
3 Er 0.4312 0.8010 0.5868  5 Te 3.00-3.14
4 Er 0.8010 0.5868 0.4312  5 Te 3.00-3.14
5 Er 0.1990 0.4132 0.5688  5 Te 3.00-3.14
6 Er 0.5688 0.1990 0.4132  5 Te 3.00-3.14
7 Te 0.2470 0.2470 0.2470  3 Er 3.00
8 Te 0.1303 0.7383 0.3766  4 Er 3.01-3.14
9 Te 0.7383 0.3766 0.1303  4 Er 3.01-3.14
10 Te 0.6234 0.8697 0.2617  4 Er 3.01-3.14
11 Te 0.3766 0.1303 0.7383  4 Er 3.01-3.14
12 Te 0.7530 0.7530 0.7530  3 Er 3.00
13 Te 0.2617 0.6234 0.8697  4 Er 3.01-3.14
14 Te 0.8697 0.2617 0.6234  4 Er 3.01-3.14
15 Ba 0.0000 0.0000 0.0000  8 Te 3.52-3.91

- Uncorrected formation energy: -1.25 eV per atom
- Fermi-level density of states: 5.4 states/eV/f.u.


Material: Mg2Ta2In
Method: DFT, PBE
State: optimized geometry

a b c (Å): 7.5194 7.5194 7.5194
angles (deg): 149.76 149.76 43.30
With the nearest neighbours (Å) after each atom.
Atoms (fractional coordinates):
1 Ta 0.4134 0.4134 0.0000  1 Ta 2.42
2 Ta 0.5866 0.5866 0.0000  1 Ta 2.42
3 In 0.0000 0.0000 0.0000  8 Ta 3.03
4 Mg 0.2500 0.7500 0.5000  4 Mg 2.77, 4 Ta 3.01
5 Mg 0.7500 0.2500 0.5000  4 Mg 2.77, 4 Ta 3.01

- Energy relative to the lowest polymorph listed for this composition: 128 meV per atom
- Fermi-level density of states: 3.8 states/eV/f.u.
- ΔH_f (0 K): 697 meV/atom


Material: Mg2Sb
Method: DFT, PBE
State: optimized geometry

a b c (Å): 3.2986 3.2986 15.5617
angles (deg): 90.00 90.00 120.00
With the nearest neighbours (Å) after each atom.
Atoms (fractional coordinates):
1 Sb 0.0000 0.0000 0.8333  6 Mg 3.22-3.24, 6 Sb 3.30
2 Sb 0.0000 0.0000 0.1667  6 Mg 3.22-3.24, 6 Sb 3.30
3 Mg 0.6667 0.3333 0.3351  9 Mg 3.20-3.30, 3 Sb 3.24
4 Mg 0.6667 0.3333 0.0000  6 Sb 3.22, 6 Mg 3.30
5 Mg 0.6667 0.3333 0.6649  9 Mg 3.20-3.30, 3 Sb 3.24
6 Mg 0.0000 0.0000 0.5000  12 Mg 3.20-3.30

- Uncorrected formation energy: -0.01 eV per atom
- Fermi-level density of states: 0.7 states/eV/f.u.


Material: Li3Ag5Pd2
Method: DFT, PBE
State: optimized geometry

a b c (Å): 5.3144 7.9594 7.9594
angles (deg): 106.57 91.12 91.12
With the nearest neighbours (Å) after each atom.
Atoms (fractional coordinates):
1 Ag 0.7500 0.5477 0.4523  4 Li 2.60-2.89, 2 Ag 2.82
2 Ag 0.2500 0.4523 0.5477  4 Li 2.60-2.89, 2 Ag 2.82
3 Ag 0.3851 0.7196 0.0295  3 Li 2.49-2.72, 1 Ag 2.76
4 Ag 0.1149 0.9705 0.2804  3 Li 2.49-2.72, 1 Ag 2.76
5 Ag 0.5151 0.2003 0.2959  3 Li 2.62-2.90, 6 Ag 2.76-2.93, 1 Pd 2.90
6 Ag 0.9849 0.7041 0.7997  3 Li 2.62-2.90, 6 Ag 2.76-2.93, 1 Pd 2.90
7 Ag 0.8851 0.0295 0.7196  3 Li 2.49-2.72, 1 Ag 2.76
8 Ag 0.4849 0.7997 0.7041  3 Li 2.62-2.90, 6 Ag 2.76-2.93, 1 Pd 2.90
9 Ag 0.0151 0.2959 0.2003  3 Li 2.62-2.90, 6 Ag 2.76-2.93, 1 Pd 2.90
10 Ag 0.6149 0.2804 0.9705  3 Li 2.49-2.72, 1 Ag 2.76
11 Pd 0.6224 0.8745 0.3745  2 Pd 2.76-2.77, 7 Ag 2.88-2.98, 5 Li 2.89-3.01
12 Pd 0.3776 0.1255 0.6255  2 Pd 2.76-2.77, 7 Ag 2.88-2.98, 5 Li 2.89-3.01
13 Pd 0.1224 0.3745 0.8745  2 Pd 2.76-2.77, 7 Ag 2.88-2.98, 5 Li 2.89-3.01
14 Pd 0.8776 0.6255 0.1255  2 Pd 2.76-2.77, 7 Ag 2.88-2.98, 5 Li 2.89-3.01
15 Li 0.8835 0.2254 0.5256  4 Ag 2.49-2.72
16 Li 0.2500 0.0512 0.9488  4 Ag 2.60-2.71, 2 Pd 2.89
17 Li 0.6165 0.4744 0.7746  4 Ag 2.49-2.72
18 Li 0.1165 0.7746 0.4744  4 Ag 2.49-2.72
19 Li 0.7500 0.9488 0.0512  4 Ag 2.60-2.71, 2 Pd 2.89
20 Li 0.3835 0.5256 0.2254  4 Ag 2.49-2.72

- Energy relative to the lowest polymorph listed for this composition: 0 meV per atom
- Fermi-level density of states: 3.0 states/eV/f.u.
- ΔH_f (0 K): -178 meV/atom


Material: Pm3Sb2Pd7
Method: DFT, PBE
State: optimized geometry

a b c (Å): 4.1925 4.1925 14.6307
angles (deg): 98.24 98.24 90.00
With the nearest neighbours (Å) after each atom.
Atoms (fractional coordinates):
1 Pd 0.4262 0.9262 0.8524  2 Sb 2.64
2 Pd 0.7752 0.7752 0.5505  1 Sb 2.72, 1 Pm 2.85
3 Pd 0.5738 0.0738 0.1476  2 Sb 2.64
4 Pd 0.0738 0.5738 0.1476  2 Sb 2.64
5 Pd 0.2248 0.2248 0.4495  1 Sb 2.72, 1 Pm 2.85
6 Pd 0.9262 0.4262 0.8524  2 Sb 2.64
7 Pd 0.0000 0.0000 0.0000  4 Pm 2.96, 8 Pd 2.98
8 Pm 0.5000 0.5000 0.0000  12 Pd 2.96-2.98
9 Pm 0.3244 0.3244 0.6488  1 Pd 2.85
10 Pm 0.6756 0.6756 0.3512  1 Pd 2.85
11 Sb 0.1299 0.1299 0.2598  5 Pd 2.64-2.72
12 Sb 0.8701 0.8701 0.7402  5 Pd 2.64-2.72

- Uncorrected formation energy: -0.74 eV per atom
- Fermi-level density of states: 8.0 states/eV/f.u.